<one>
Crystalline GaIrBr3 at its relaxed geometry. Source: the Alexandria database, functional PBE.

Calculated values
Its density is 5.93 g/cm3. As for the space group: Pm-3m (221).

a = 5.1984 Å, b = 5.1984 Å, c = 5.1984 Å
α = 90.00°, β = 90.00°, γ = 90.00°
Element x y z (fractional)
1 Ir 0.5000 0.5000 0.5000
2 Ga 0.0000 0.0000 0.0000
3 Br 0.0000 0.5000 0.0000
4 Br 0.0000 0.0000 0.5000
5 Br 0.5000 0.0000 0.0000



<two>
Crystalline GaIrBr3 at its relaxed geometry. Source: the Alexandria database, functional PBE.

Calculated values
Its density is 6.14 g/cm3. As for the space group: Pm-3m (221).

a = 5.1395 Å, b = 5.1395 Å, c = 5.1395 Å
α = 90.00°, β = 90.00°, γ = 90.00°
Element x y z (fractional)
1 Ir 0.0000 0.0000 0.0000
2 Ga 0.5000 0.5000 0.5000
3 Br 0.0000 0.5000 0.0000
4 Br 0.0000 0.0000 0.5000
5 Br 0.5000 0.0000 0.0000



Energetically preferred structure: <two> | next structure: +787 meV per atom



<one>
Crystalline K3GaBr6 at its relaxed geometry. Source: the Alexandria database, functional PBE.

Calculated values
Its density is 3.04 g/cm3. As for the space group: Fm-3m (225).

a = 8.0117 Å, b = 8.0117 Å, c = 8.0117 Å
α = 60.00°, β = 60.00°, γ = 60.00°
Element x y z (fractional)
1 K 0.7500 0.7500 0.7500
2 K 0.2500 0.2500 0.2500
3 K 0.5000 0.5000 0.5000
4 Ga 0.0000 0.0000 0.0000
5 Br 0.2260 0.7740 0.2260
6 Br 0.7740 0.2260 0.2260
7 Br 0.7740 0.2260 0.7740
8 Br 0.2260 0.2260 0.7740
9 Br 0.7740 0.7740 0.2260
10 Br 0.2260 0.7740 0.7740



<two>
Crystalline K3GaBr6 at its relaxed geometry. Source: the Alexandria database, functional PBE.

Calculated values
Its density is 3.19 g/cm3. As for the space group: P2_1/c (14).

a = 7.7193 Å, b = 8.1620 Å, c = 11.0169 Å
α = 90.00°, β = 89.31°, γ = 90.00°
Element x y z (fractional)
1 K 0.5285 0.9236 0.7531
2 K 0.5000 0.5000 0.0000
3 K 0.4715 0.0764 0.2469
4 K 0.0285 0.5764 0.2531
5 K 0.0000 0.0000 0.5000
6 K 0.9715 0.4236 0.7469
7 Ga 0.5000 0.5000 0.5000
8 Ga 0.0000 0.0000 0.0000
9 Br 0.7290 0.1707 0.9486
10 Br 0.6600 0.2337 0.5672
11 Br 0.6171 0.4575 0.2823
12 Br 0.3829 0.5425 0.7177
13 Br 0.3400 0.7663 0.4328
14 Br 0.2710 0.8293 0.0514
15 Br 0.2290 0.3293 0.4486
16 Br 0.1600 0.2663 0.0672
17 Br 0.1171 0.0425 0.7823
18 Br 0.8829 0.9575 0.2177
19 Br 0.8400 0.7337 0.9328
20 Br 0.7710 0.6707 0.5514



<three>
Crystalline K3GaBr6 at its relaxed geometry. Source: the Alexandria database, functional PBE.

Calculated values
Its density is 2.51 g/cm3. As for the space group: Cmc2_1 (36).

a = 8.1322 Å, b = 10.5126 Å, c = 10.5126 Å
α = 100.97°, β = 90.00°, γ = 90.00°
Element x y z (fractional)
1 K 0.4444 0.8854 0.6841
2 K 0.9444 0.6841 0.8854
3 K 0.3561 0.4367 0.5633
4 K 0.8561 0.5633 0.4367
5 K 0.9444 0.1146 0.3159
6 K 0.4444 0.3159 0.1146
7 Ga 0.0837 0.1925 0.8075
8 Ga 0.5837 0.8075 0.1925
9 Br 0.1379 0.7027 0.6313
10 Br 0.6379 0.6313 0.7027
11 Br 0.1902 0.4057 0.8774
12 Br 0.6902 0.8774 0.4057
13 Br 0.2046 0.0588 0.9412
14 Br 0.7960 0.1883 0.8117
15 Br 0.2960 0.8117 0.1883
16 Br 0.7046 0.9412 0.0588
17 Br 0.1902 0.1226 0.5943
18 Br 0.6902 0.5943 0.1226
19 Br 0.1379 0.3687 0.2973
20 Br 0.6379 0.2973 0.3687



Energetically preferred structure: <three> | next structure: +34 meV per atom